# 1
DFT (PBE-GGA) results for crystalline TaPb2ClO at its relaxed geometry.

a b c (Å): 5.615 5.615 4.425
angles (deg): 90.00 90.00 90.00
Sites, in units of the cell vectors:
1 Ta 0.000 0.000 0.000
2 Pb 0.000 0.500 0.500
3 Pb 0.500 0.000 0.500
4 Cl 0.000 0.000 0.500
5 O 0.500 0.500 0.000

Magnetic moment: 0.0 μB per formula unit
DOS(E_F): 4.24 states/eV per cell
Total energy: -20.45 eV/cell
ΔE_f (raw): 1124 meV per atom


# 2
DFT (PBE-GGA) results for crystalline TaPb2ClO4 at its relaxed geometry.

a b c (Å): 5.554 5.554 10.482
angles (deg): 110.21 110.21 33.72
Sites, in units of the cell vectors:
1 Ta 0.000 0.000 0.000
2 Pb 0.350 0.350 0.250
3 Pb 0.650 0.650 0.750
4 Cl 0.000 0.000 0.500
5 O 0.049 0.049 0.835
6 O 0.375 0.375 0.924
7 O 0.625 0.625 0.076
8 O 0.951 0.951 0.165

Magnetic moment: 0.0 μB per formula unit
DOS(E_F): 0.00 states/eV per cell
Total energy: -55.14 eV/cell
ΔE_f (raw): -1773 meV per atom


# 3
DFT (PBE-GGA) results for crystalline TaPb2ClO at its relaxed geometry.

a b c (Å): 5.771 5.771 3.863
angles (deg): 90.00 90.00 90.00
Sites, in units of the cell vectors:
1 Ta 0.000 0.000 0.000
2 Pb 0.000 0.500 0.500
3 Pb 0.500 0.000 0.500
4 Cl 0.500 0.500 0.000
5 O 0.000 0.000 0.500

Magnetic moment: 1.5 μB per formula unit
DOS(E_F): 3.95 states/eV per cell
Total energy: -27.32 eV/cell
ΔE_f (raw): -249 meV per atom


# 4
DFT (PBE-GGA) results for crystalline TbPb2ClO4 at its relaxed geometry.

a b c (Å): 3.997 3.997 8.870
angles (deg): 90.00 90.00 90.00
Sites, in units of the cell vectors:
1 Tb 0.000 0.000 0.000
2 Pb 0.500 0.500 0.273
3 Pb 0.500 0.500 0.727
4 Cl 0.000 0.000 0.500
5 O 0.000 0.500 0.149
6 O 0.000 0.500 0.851
7 O 0.500 0.000 0.149
8 O 0.500 0.000 0.851

Magnetic moment: 0.0 μB per formula unit
DOS(E_F): 3.77 states/eV per cell
Total energy: -47.31 eV/cell
ΔE_f (raw): -1698 meV per atom


# 5
DFT (PBE-GGA) results for crystalline TcPb2ClO4 at its relaxed geometry.

a b c (Å): 5.325 5.325 9.069
angles (deg): 111.48 111.48 38.00
Sites, in units of the cell vectors:
1 Tc 0.000 0.000 0.000
2 Pb 0.178 0.178 0.778
3 Pb 0.822 0.822 0.222
4 Cl 0.500 0.500 0.500
5 O 0.136 0.136 0.204
6 O 0.394 0.394 0.045
7 O 0.606 0.606 0.955
8 O 0.864 0.864 0.796

Magnetic moment: 0.0 μB per formula unit
DOS(E_F): 0.79 states/eV per cell
Total energy: -48.43 eV/cell
ΔE_f (raw): -1120 meV per atom


# 6
DFT (PBE-GGA) results for crystalline TcPb2Cl4O2 at its relaxed geometry.

a b c (Å): 6.952 6.952 5.879
angles (deg): 110.10 110.10 60.80
Sites, in units of the cell vectors:
1 Tc 0.000 0.000 0.000
2 Pb 0.250 0.250 0.708
3 Pb 0.750 0.750 0.292
4 Cl 0.150 0.671 0.179
5 Cl 0.329 0.850 0.821
6 Cl 0.671 0.150 0.179
7 Cl 0.850 0.329 0.821
8 O 0.140 0.140 0.292
9 O 0.860 0.860 0.708

Magnetic moment: 1.0 μB per formula unit
DOS(E_F): 4.31 states/eV per cell
Total energy: -43.54 eV/cell
ΔE_f (raw): -939 meV per atom


- What is the DOS(E_F) in the fifth record?
  0.79 states/eV per cell